Entry from Alexandria: a geometry-optimized Sm2Y5ErSc structure (PBE). Values from VASP.

Computed properties:
Space-group type   Cmc2_1 (36)
Uncorrected energy   -5.70 eV/atom

Cell and atoms, written as Quantum ESPRESSO input:
```
&SYSTEM
  ibrav = 0, nat = 18, ntyp = 4
/
ATOMIC_SPECIES
Sm 150.36 Sm.upf
Y 88.91 Y.upf
Er 167.26 Er.upf
Sc 44.96 Sc.upf
CELL_PARAMETERS angstrom
2.769 -10.171 0.000
2.769 10.171 0.000
0.000 0.000 10.287
ATOMIC_POSITIONS crystal
Sm 0.111 0.889 0.500
Sm 0.117 0.883 0.920
Sm 0.883 0.117 0.420
Sm 0.889 0.111 0.000
Y 0.016 0.984 0.200
Y 0.268 0.732 0.521
Y 0.300 0.700 0.886
Y 0.366 0.634 0.208
Y 0.483 0.517 0.925
Y 0.517 0.483 0.425
Y 0.634 0.366 0.708
Y 0.700 0.300 0.386
Y 0.732 0.268 0.021
Y 0.984 0.016 0.700
Er 0.405 0.595 0.637
Er 0.595 0.405 0.137
Sc 0.190 0.810 0.205
Sc 0.810 0.190 0.705
```

***

Entry from Alexandria: a geometry-optimized Sm2YEr2Sc2 structure (PBE). Values from VASP.

Computed properties:
Space-group type   C2/m (12)
Uncorrected energy   -5.22 eV/atom

Cell and atoms, written as Quantum ESPRESSO input:
```
&SYSTEM
  ibrav = 0, nat = 14, ntyp = 4
/
ATOMIC_SPECIES
Sm 150.36 Sm.upf
Y 88.91 Y.upf
Er 167.26 Er.upf
Sc 44.96 Sc.upf
CELL_PARAMETERS angstrom
17.220 0.000 0.000
0.000 3.407 0.000
-3.812 0.000 7.347
ATOMIC_POSITIONS crystal
Sm 0.150 0.000 0.390
Sm 0.350 0.500 0.610
Sm 0.650 0.500 0.390
Sm 0.850 0.000 0.610
Y 0.000 0.500 0.500
Y 0.500 0.000 0.500
Er 0.075 0.000 0.911
Er 0.425 0.500 0.089
Er 0.575 0.500 0.911
Er 0.925 0.000 0.089
Sc 0.212 0.500 0.804
Sc 0.288 0.000 0.196
Sc 0.712 0.000 0.804
Sc 0.788 0.500 0.196
```

***

Entry from Alexandria: a geometry-optimized Sm5YEr2Sc structure (PBE). Values from VASP.

Computed properties:
Space-group type   Cmc2_1 (36)
Uncorrected energy   -4.92 eV/atom

Cell and atoms, written as Quantum ESPRESSO input:
```
&SYSTEM
  ibrav = 0, nat = 18, ntyp = 4
/
ATOMIC_SPECIES
Sm 150.36 Sm.upf
Y 88.91 Y.upf
Er 167.26 Er.upf
Sc 44.96 Sc.upf
CELL_PARAMETERS angstrom
2.663 -10.888 0.000
2.663 10.888 0.000
0.000 0.000 10.134
ATOMIC_POSITIONS crystal
Sm 0.000 0.000 0.000
Sm 0.000 0.000 0.500
Sm 0.126 0.874 0.750
Sm 0.221 0.779 0.062
Sm 0.221 0.779 0.439
Sm 0.498 0.502 0.250
Sm 0.502 0.498 0.750
Sm 0.779 0.221 0.562
Sm 0.779 0.221 0.939
Sm 0.874 0.126 0.250
Y 0.101 0.899 0.250
Y 0.899 0.101 0.750
Er 0.384 0.616 0.501
Er 0.384 0.616 0.999
Er 0.616 0.384 0.001
Er 0.616 0.384 0.499
Sc 0.284 0.716 0.751
Sc 0.716 0.284 0.251
```

***

Entry from Alexandria: a geometry-optimized Sm2YErSc structure (PBE). Values from VASP.

Computed properties:
Space-group type   Cmcm (63)
Uncorrected energy   -5.00 eV/atom

Cell and atoms, written as Quantum ESPRESSO input:
```
&SYSTEM
  ibrav = 0, nat = 10, ntyp = 4
/
ATOMIC_SPECIES
Sm 150.36 Sm.upf
Y 88.91 Y.upf
Er 167.26 Er.upf
Sc 44.96 Sc.upf
CELL_PARAMETERS angstrom
3.204 -7.907 0.000
3.204 7.907 0.000
0.000 0.000 6.411
ATOMIC_POSITIONS crystal
Sm 0.249 0.249 0.000
Sm 0.249 0.249 0.500
Sm 0.751 0.751 0.000
Sm 0.751 0.751 0.500
Y 0.250 0.750 0.750
Y 0.750 0.250 0.250
Er 0.340 0.660 0.250
Er 0.660 0.340 0.750
Sc 0.155 0.845 0.250
Sc 0.845 0.155 0.750
```